First-principles (PBE with a Hubbard U) data for crystalline WClF3 at its relaxed geometry, as listed in Alexandria.

```
WClF3
1.0
4.2217 0.0000 0.0000
0.0000 4.2217 0.0000
0.0000 0.0000 4.2217
W Cl F
1 1 3
direct
0.0000 0.0000 0.0000
0.5000 0.5000 0.5000
0.0000 0.0000 0.5000
0.0000 0.5000 0.0000
0.5000 0.0000 0.0000
```

DOS at the Fermi energy: 13.31 states/eV/f.u.
Total energy: -4.652 eV per atom